Density functional theory data (GGA-PBE) for a geometry-optimized K5Ag6 structure.

Values from the calculation:
E_tot in Ry per atom: -0.1480

Cell lengths 16.524, 16.524, 4.810 Å; angles 90.00, 90.00, 163.19 degrees
Atoms (fractional coordinates):
K1 0.000 0.000 0.000
K2 0.196 0.804 0.500
K3 0.383 0.617 0.000
K4 0.617 0.383 0.000
K5 0.804 0.196 0.500
Ag1 0.085 0.915 0.500
Ag2 0.273 0.727 0.000
Ag3 0.458 0.542 0.500
Ag4 0.542 0.458 0.500
Ag5 0.727 0.273 0.000
Ag6 0.915 0.085 0.500

Density functional theory data (GGA-PBE) for a geometry-optimized KAg structure.

Values from the calculation:
Relative energy among the computed polymorphs in eV per atom: 0.0000

Cell lengths 4.947, 4.947, 4.947 Å; angles 60.00, 60.00, 60.00 degrees
Atoms (fractional coordinates):
K1 0.000 0.000 0.000
Ag1 0.500 0.500 0.500

Density functional theory data (GGA-PBE) for a geometry-optimized K2Ag structure.

Values from the calculation:
E_tot in Ry per atom: -0.0951

Cell lengths 10.440, 10.440, 10.440 Å; angles 60.00, 60.00, 60.00 degrees
Atoms (fractional coordinates):
K1 0.000 0.000 0.000
K2 0.000 0.000 0.500
K3 0.000 0.500 0.000
K4 0.500 0.000 0.000
Ag1 0.125 0.125 0.125
Ag2 0.875 0.875 0.875

Density functional theory data (GGA-PBE) for a geometry-optimized KAg3 structure.

Values from the calculation:
E_tot in Ry per atom: -0.1744

Cell lengths 6.291, 6.291, 6.291 Å; angles 44.80, 44.80, 44.80 degrees
Atoms (fractional coordinates):
K1 0.000 0.000 0.000
Ag1 0.191 0.191 0.191
Ag2 0.500 0.500 0.500
Ag3 0.809 0.809 0.809

Density functional theory data (GGA-PBE) for a geometry-optimized KLaAg structure.

Values from the calculation:
Relative energy among the computed polymorphs in eV per atom: 0.0000
Total magnetization in μB/f.u.: 0.4

Cell lengths 5.396, 5.396, 5.396 Å; angles 60.00, 60.00, 60.00 degrees
Atoms (fractional coordinates):
K1 0.000 0.000 0.000
La1 0.500 0.500 0.500
Ag1 0.250 0.250 0.250

Density functional theory data (GGA-PBE) for a geometry-optimized KLaAgSe3 structure.

Values from the calculation:
E_tot in Ry per atom: -0.3212
Total magnetization in μB/f.u.: 0.1

Cell lengths 7.627, 7.627, 11.334 Å; angles 90.00, 90.00, 146.92 degrees
Atoms (fractional coordinates):
K1 0.249 0.751 0.750
K2 0.751 0.249 0.250
La1 0.500 0.500 0.000
La2 0.500 0.500 0.500
Ag1 0.034 0.966 0.250
Ag2 0.966 0.034 0.750
Se1 0.135 0.865 0.060
Se2 0.135 0.865 0.440
Se3 0.426 0.574 0.250
Se4 0.574 0.426 0.750
Se5 0.865 0.135 0.560
Se6 0.865 0.135 0.940

Density functional theory data (GGA-PBE) for a geometry-optimized KLaAgTe3 structure.

Values from the calculation:
E_tot in Ry per atom: -0.2940
Total magnetization in μB/f.u.: 0.0

Cell lengths 8.224, 8.224, 11.947 Å; angles 90.00, 90.00, 148.14 degrees
Atoms (fractional coordinates):
K1 0.247 0.753 0.750
K2 0.753 0.247 0.250
La1 0.000 0.000 0.000
La2 0.000 0.000 0.500
Ag1 0.466 0.534 0.250
Ag2 0.534 0.466 0.750
Te1 0.076 0.924 0.250
Te2 0.362 0.638 0.060
Te3 0.362 0.638 0.440
Te4 0.638 0.362 0.560
Te5 0.638 0.362 0.940
Te6 0.924 0.076 0.750

Density functional theory data (GGA-PBE) for a geometry-optimized KLi6Ag structure.

Values from the calculation:
E_tot in Ry per atom: -0.1371

Cell lengths 4.775, 4.775, 7.264 Å; angles 90.00, 90.00, 90.00 degrees
Atoms (fractional coordinates):
K1 0.000 0.000 0.000
Li1 0.000 0.000 0.500
Li2 0.000 0.500 0.307
Li3 0.000 0.500 0.693
Li4 0.500 0.000 0.307
Li5 0.500 0.000 0.693
Li6 0.500 0.500 0.000
Ag1 0.500 0.500 0.500

Density functional theory data (GGA-PBE) for a geometry-optimized KLuAgS3 structure.

Values from the calculation:
E_tot in Ry per atom: -0.3384
Total magnetization in μB/f.u.: 0.2

Cell lengths 7.525, 7.525, 10.295 Å; angles 90.00, 90.00, 149.50 degrees
Atoms (fractional coordinates):
K1 0.249 0.751 0.750
K2 0.751 0.249 0.250
Lu1 0.500 0.500 0.000
Lu2 0.500 0.500 0.500
Ag1 0.035 0.965 0.250
Ag2 0.965 0.035 0.750
S1 0.124 0.876 0.046
S2 0.124 0.876 0.454
S3 0.428 0.572 0.250
S4 0.572 0.428 0.750
S5 0.876 0.124 0.546
S6 0.876 0.124 0.954

Density functional theory data (GGA-PBE) for a geometry-optimized KAg3MoS4 structure.

Values from the calculation:
E_tot in Ry per atom: -0.3287
Total magnetization in μB/f.u.: 2.0

Cell lengths 6.244, 6.244, 6.244 Å; angles 90.00, 90.00, 90.00 degrees
Atoms (fractional coordinates):
K1 0.000 0.000 0.000
Ag1 0.000 0.500 0.500
Ag2 0.500 0.000 0.500
Ag3 0.500 0.500 0.000
Mo1 0.500 0.500 0.500
S1 0.284 0.284 0.284
S2 0.284 0.716 0.716
S3 0.716 0.284 0.716
S4 0.716 0.716 0.284

Density functional theory data (GGA-PBE) for a geometry-optimized KAgMoSe3 structure.

Values from the calculation:
E_tot in Ry per atom: -0.3381
Total magnetization in μB/f.u.: 2.0

Cell lengths 7.746, 7.746, 10.232 Å; angles 90.00, 90.00, 150.80 degrees
Atoms (fractional coordinates):
K1 0.243 0.757 0.750
K2 0.757 0.243 0.250
Ag1 0.455 0.545 0.250
Ag2 0.545 0.455 0.750
Mo1 0.000 0.000 0.000
Mo2 0.000 0.000 0.500
Se1 0.071 0.929 0.250
Se2 0.381 0.619 0.026
Se3 0.381 0.619 0.474
Se4 0.619 0.381 0.526
Se5 0.619 0.381 0.974
Se6 0.929 0.071 0.750

Density functional theory data (GGA-PBE) for a geometry-optimized KNaAg structure.

Values from the calculation:
E_tot in Ry per atom: -0.1146

Cell lengths 5.345, 5.345, 5.345 Å; angles 60.00, 60.00, 60.00 degrees
Atoms (fractional coordinates):
K1 0.000 0.000 0.000
Na1 0.750 0.750 0.750
Ag1 0.500 0.500 0.500

Density functional theory data (GGA-PBE) for a geometry-optimized KNaAgP structure.

Values from the calculation:
Relative energy among the computed polymorphs in eV per atom: 0.0112

Cell lengths 5.977, 5.977, 5.874 Å; angles 90.04, 90.04, 102.30 degrees
Atoms (fractional coordinates):
K1 0.143 0.143 0.249
K2 0.857 0.857 0.751
Na1 0.510 0.209 0.749
Na2 0.791 0.490 0.251
Ag1 0.325 0.675 0.500
Ag2 0.326 0.674 0.000
P1 0.073 0.403 0.750
P2 0.597 0.927 0.250

Density functional theory data (GGA-PBE) for a geometry-optimized KNa3Ag2P2 structure.

Values from the calculation:
E_tot in Ry per atom: -0.2213

Cell lengths 5.727, 5.734, 5.919 Å; angles 89.96, 78.15, 89.93 degrees
Atoms (fractional coordinates):
K1 0.000 0.000 0.000
Na1 0.071 0.500 0.623
Na2 0.355 0.998 0.347
Na3 0.712 0.498 0.284
Ag1 0.537 0.251 0.810
Ag2 0.537 0.747 0.811
P1 0.269 0.499 0.089
P2 0.795 0.999 0.532

Density functional theory data (GGA-PBE) for a geometry-optimized KNaAgP structure.

Values from the calculation:
Relative energy among the computed polymorphs in eV per atom: 0.0127

Cell lengths 5.835, 5.951, 5.951 Å; angles 77.65, 90.00, 90.00 degrees
Atoms (fractional coordinates):
K1 0.250 0.143 0.857
K2 0.750 0.857 0.143
Na1 0.250 0.490 0.210
Na2 0.750 0.210 0.490
Ag1 0.000 0.674 0.674
Ag2 0.500 0.674 0.674
P1 0.250 0.930 0.401
P2 0.750 0.401 0.930

Density functional theory data (GGA-PBE) for a geometry-optimized KNaAgP structure.

Values from the calculation:
Relative energy among the computed polymorphs in eV per atom: 0.0000

Cell lengths 5.919, 5.738, 6.157 Å; angles 90.00, 102.22, 90.00 degrees
Atoms (fractional coordinates):
K1 0.042 0.250 0.192
K2 0.958 0.750 0.808
Na1 0.333 0.750 0.486
Na2 0.667 0.250 0.514
Ag1 0.500 0.000 0.000
Ag2 0.500 0.500 0.000
P1 0.258 0.250 0.719
P2 0.742 0.750 0.281

Density functional theory data (GGA-PBE) for a geometry-optimized KNa3Ag2P2 structure.

Values from the calculation:
E_tot in Ry per atom: -0.2213

Cell lengths 5.723, 5.715, 5.878 Å; angles 90.00, 101.88, 90.00 degrees
Atoms (fractional coordinates):
K1 0.000 0.000 0.000
Na1 0.071 0.500 0.374
Na2 0.353 0.000 0.650
Na3 0.711 0.500 0.714
Ag1 0.536 0.252 0.186
Ag2 0.536 0.748 0.186
P1 0.266 0.500 0.905
P2 0.794 0.000 0.468

Density functional theory data (GGA-PBE) for a geometry-optimized KNaAgP structure.

Values from the calculation:
Relative energy among the computed polymorphs in eV per atom: 0.0181

Cell lengths 5.819, 5.961, 5.961 Å; angles 102.69, 90.00, 90.00 degrees
Atoms (fractional coordinates):
K1 0.000 0.173 0.827
K2 0.000 0.827 0.173
Na1 0.500 0.543 0.892
Na2 0.500 0.892 0.543
Ag1 0.253 0.365 0.365
Ag2 0.747 0.365 0.365
P1 0.000 0.628 0.628
P2 0.500 0.096 0.096

Density functional theory data (GGA-PBE) for a geometry-optimized KNaAgPS4 structure.

Values from the calculation:
E_tot in Ry per atom: -0.3017

Cell lengths 6.353, 6.353, 6.353 Å; angles 115.06, 115.06, 98.79 degrees
Atoms (fractional coordinates):
K1 0.000 0.000 0.000
Na1 0.250 0.750 0.500
Ag1 0.750 0.250 0.500
P1 0.500 0.500 0.000
S1 0.172 0.527 0.977
S2 0.473 0.450 0.645
S3 0.550 0.195 0.023
S4 0.805 0.828 0.355

Density functional theory data (GGA-PBE) for a geometry-optimized KNaAgSb structure.

Values from the calculation:
Relative energy among the computed polymorphs in eV per atom: 0.0233

Cell lengths 6.029, 6.463, 6.463 Å; angles 101.15, 90.00, 90.00 degrees
Atoms (fractional coordinates):
K1 0.000 0.177 0.823
K2 0.000 0.823 0.177
Na1 0.500 0.526 0.867
Na2 0.500 0.867 0.526
Ag1 0.250 0.359 0.359
Ag2 0.750 0.359 0.359
Sb1 0.000 0.636 0.636
Sb2 0.500 0.084 0.084

Density functional theory data (GGA-PBE) for a geometry-optimized KNaAgSb structure.

Values from the calculation:
Relative energy among the computed polymorphs in eV per atom: 0.0206

Cell lengths 6.070, 6.426, 6.426 Å; angles 78.27, 90.00, 90.00 degrees
Atoms (fractional coordinates):
K1 0.250 0.155 0.845
K2 0.750 0.845 0.155
Na1 0.250 0.805 0.497
Na2 0.750 0.497 0.805
Ag1 0.000 0.320 0.320
Ag2 0.500 0.320 0.320
Sb1 0.250 0.606 0.053
Sb2 0.750 0.053 0.606

Density functional theory data (GGA-PBE) for a geometry-optimized KNaAgSb structure.

Values from the calculation:
Relative energy among the computed polymorphs in eV per atom: 0.0000

Cell lengths 6.105, 5.948, 6.870 Å; angles 90.00, 102.44, 90.00 degrees
Atoms (fractional coordinates):
K1 0.056 0.250 0.179
K2 0.944 0.750 0.821
Na1 0.323 0.750 0.499
Na2 0.677 0.250 0.501
Ag1 0.500 0.000 0.000
Ag2 0.500 0.500 0.000
Sb1 0.245 0.250 0.705
Sb2 0.755 0.750 0.295

Density functional theory data (GGA-PBE) for a geometry-optimized KNbAg structure.

Values from the calculation:
Relative energy among the computed polymorphs in eV per atom: 0.0000
Total magnetization in μB/f.u.: 3.3

Cell lengths 5.052, 5.052, 5.052 Å; angles 60.00, 60.00, 60.00 degrees
Atoms (fractional coordinates):
K1 0.000 0.000 0.000
Nb1 0.500 0.500 0.500
Ag1 0.250 0.250 0.250

Density functional theory data (GGA-PBE) for a geometry-optimized KNbAgSeS2 structure.

Values from the calculation:
E_tot in Ry per atom: -0.3664
Total magnetization in μB/f.u.: 0.6

Cell lengths 7.776, 7.776, 10.176 Å; angles 90.00, 90.00, 152.71 degrees
Atoms (fractional coordinates):
K1 0.243 0.757 0.750
K2 0.757 0.243 0.250
Nb1 0.000 0.000 0.000
Nb2 0.000 0.000 0.500
Ag1 0.451 0.549 0.250
Ag2 0.549 0.451 0.750
Se1 0.076 0.924 0.250
Se2 0.924 0.076 0.750
S1 0.385 0.615 0.033
S2 0.385 0.615 0.467
S3 0.615 0.385 0.533
S4 0.615 0.385 0.967